(1)
The following is a DFT calculation (PBE) of an optimized crystal structure of Tb2ZnCd.

Computed properties:
Formation energy, eV per atom: -0.3114
Energy above the lowest structure with this stoichiometry, meV per atom: 20
DFT total energy, eV/atom: -3.1738

abc: 5.204 5.204 5.204
angles: 60.00 60.00 60.00
Fractional coordinates of all 4 atoms:
Cd 0.500 0.500 0.500
Tb 0.250 0.250 0.250
Tb 0.750 0.750 0.750
Zn 0.000 0.000 0.000

(2)
The following is a DFT calculation (PBE) of an optimized crystal structure of Tb6ZnCd5.

Computed properties:
Formation energy, eV per atom: -0.3157
DFT total energy, eV/atom: -3.1183

abc: 5.262 7.503 8.325
angles: 90.00 71.58 90.00
Fractional coordinates of all 12 atoms:
Cd 0.668 0.500 0.664
Cd 0.669 0.000 0.661
Cd 0.332 0.500 0.336
Cd 0.331 0.000 0.339
Cd 0.000 0.500 0.000
Tb 0.163 0.246 0.675
Tb 0.500 0.759 0.000
Tb 0.837 0.754 0.325
Tb 0.837 0.246 0.325
Tb 0.500 0.241 0.000
Tb 0.163 0.754 0.675
Zn 0.000 0.000 0.000

(3)
The following is a DFT calculation (PBE) of an optimized crystal structure of Tb3Zn4Cd4.

Computed properties:
Formation energy, eV per atom: -0.2586
Energy above the lowest structure with this stoichiometry, meV per atom: 25
DFT total energy, eV/atom: -2.3174

abc: 4.233 7.632 8.704
angles: 116.01 104.07 90.00
Fractional coordinates of all 11 atoms:
Cd 0.333 0.140 0.666
Cd 0.667 0.474 0.334
Cd 0.333 0.526 0.666
Cd 0.667 0.860 0.334
Zn 0.228 0.728 0.455
Zn 0.500 0.177 0.000
Zn 0.500 0.823 0.000
Zn 0.772 0.272 0.545
Tb 0.000 0.500 0.000
Tb 0.880 0.880 0.759
Tb 0.120 0.120 0.241

(4)
The following is a DFT calculation (PBE) of an optimized crystal structure of Tb3ZnCd3.

Computed properties:
Formation energy, eV per atom: -0.2771
DFT total energy, eV/atom: -2.8357

abc: 4.856 3.517 10.677
angles: 99.48 103.14 90.00
Fractional coordinates of all 7 atoms:
Zn 0.433 0.433 0.865
Cd 0.143 0.643 0.286
Cd 0.564 0.564 0.128
Cd 0.860 0.360 0.720
Tb 0.700 0.200 0.400
Tb 0.305 0.805 0.610
Tb 0.995 0.995 0.991

(5)
The following is a DFT calculation (PBE) of an optimized crystal structure of TbZn10Cd.

Computed properties:
Formation energy, eV per atom: -0.1128
DFT total energy, eV/atom: -1.6365

abc: 4.289 5.223 9.209
angles: 90.00 90.00 90.00
Fractional coordinates of all 12 atoms:
Zn 0.000 0.500 0.842
Zn 0.500 0.739 0.736
Zn 0.000 0.000 0.314
Zn 0.500 0.261 0.264
Zn 0.000 0.500 0.158
Zn 0.500 0.500 0.000
Zn 0.500 0.739 0.264
Zn 0.000 0.000 0.686
Zn 0.500 0.000 0.500
Zn 0.500 0.261 0.736
Tb 0.000 0.500 0.500
Cd 0.000 0.000 0.000

(6)
The following is a DFT calculation (PBE) of an optimized crystal structure of Tb4ZnCd.

Computed properties:
Formation energy, eV per atom: 0.0618
Energy above the lowest structure with this stoichiometry, meV per atom: 263
DFT total energy, eV/atom: -3.3899

abc: 5.006 5.007 7.315
angles: 89.98 89.99 90.00
Fractional coordinates of all 6 atoms:
Tb 0.001 0.497 0.735
Tb 0.001 0.497 0.261
Tb 0.501 0.997 0.261
Tb 0.501 0.998 0.735
Cd 0.501 0.497 0.998
Zn 0.001 0.997 0.498

M_tot: 0.0 0.0 0.0 0.0 0.0 0.0 (μB per cell)